# 1
This record from the Alexandria database describes crystalline KIr2Rh at its relaxed geometry. The functional is PBE.

Output
**ΔE to the lowest computed polymorph**: 4.55 kJ/mol of atoms
**ΔE_f**: 502 meV/atom

CIF file:
```
data_KIr2Rh
_chemical_formula_sum 'K1 Ir2 Rh1'
_space_group_name_H-M_alt 'P 4/m m m'
_space_group_IT_number 123
_space_group_name_Hall '-P 4 2'
_cell_length_a 2.765
_cell_length_b 2.765
_cell_length_c 9.237
_cell_angle_alpha 90.00
_cell_angle_beta 90.00
_cell_angle_gamma 90.00
loop_
_atom_site_label
_atom_site_type_symbol
_atom_site_fract_x
_atom_site_fract_y
_atom_site_fract_z
_atom_site_occupancy
K1 K 0.000 0.000 0.000 1
Ir1 Ir 0.500 0.500 0.300 1
Rh1 Rh 0.000 0.000 0.500 1
```


# 2
This record from the Alexandria database describes crystalline Sr5PI5 at its relaxed geometry. The functional is PBE.

Output
**Energy relative to the elements, uncorrected**: -1368 meV per atom

CIF file:
```
data_Sr5PI5
_chemical_formula_sum 'Sr10 P2 I10'
_space_group_name_H-M_alt 'C 1 2/m 1'
_space_group_IT_number 12
_cell_length_a 14.727
_cell_length_b 6.552
_cell_length_c 9.380
_cell_angle_alpha 90.00
_cell_angle_beta 109.03
_cell_angle_gamma 90.00
loop_
_space_group_symop_operation_xyz
'x,y,z'
'-x,-y,-z'
'-x,y,-z'
'x,-y,z'
'x+1/2,y+1/2,z'
'-x+1/2,-y+1/2,-z'
'-x+1/2,y+1/2,-z'
'x+1/2,-y+1/2,z'
loop_
_atom_site_label
_atom_site_type_symbol
_atom_site_fract_x
_atom_site_fract_y
_atom_site_fract_z
_atom_site_occupancy
Sr1 Sr 0.000 0.000 0.000 1
Sr2 Sr 0.148 0.500 0.298 1
Sr3 Sr 0.153 0.500 0.857 1
P1 P 0.000 0.500 0.000 1
I1 I 0.000 0.500 0.500 1
I2 I 0.160 0.000 0.816 1
I3 I 0.179 0.000 0.340 1
```


# 3
This record from the Alexandria database describes crystalline LaZr2P at its relaxed geometry. The functional is PBE.

Output
**ΔE_f**: -357 meV/atom

CIF file:
```
data_LaZr2P
_chemical_formula_sum 'La4 Zr8 P4'
_space_group_name_H-M_alt 'I -4 2 d'
_space_group_IT_number 122
_space_group_name_Hall 'I -4 2bw'
_cell_length_a 8.332
_cell_length_b 8.332
_cell_length_c 5.815
_cell_angle_alpha 90.00
_cell_angle_beta 90.00
_cell_angle_gamma 90.00
loop_
_atom_site_label
_atom_site_type_symbol
_atom_site_fract_x
_atom_site_fract_y
_atom_site_fract_z
_atom_site_occupancy
La1 La 0.000 0.000 0.000 1
Zr1 Zr 0.165 0.750 0.625 1
P1 P 0.000 0.000 0.500 1
```


# 4
This record from the Alexandria database describes crystalline MgTaAsBr2 at its relaxed geometry. The functional is PBE.

Output
**ΔE to the lowest computed polymorph**: 0.00 kJ/mol of atoms
**Energy relative to the elements, uncorrected**: 24 meV per atom

CIF file:
```
data_MgTaAsBr2
_chemical_formula_sum 'Mg1 Ta1 As1 Br2'
_space_group_name_H-M_alt 'P 4/m m m'
_space_group_IT_number 123
_space_group_name_Hall '-P 4 2'
_cell_length_a 5.159
_cell_length_b 5.159
_cell_length_c 5.121
_cell_angle_alpha 90.00
_cell_angle_beta 90.00
_cell_angle_gamma 90.00
loop_
_atom_site_label
_atom_site_type_symbol
_atom_site_fract_x
_atom_site_fract_y
_atom_site_fract_z
_atom_site_occupancy
Mg1 Mg 0.000 0.000 0.000 1
Ta1 Ta 0.500 0.500 0.500 1
As1 As 0.500 0.500 0.000 1
Br1 Br 0.000 0.500 0.500 1
```


# 5
This record from the Alexandria database describes crystalline Pm3Mg2Al7 at its relaxed geometry. The functional is PBE.

Output
**ΔE_f**: -371 meV/atom

CIF file:
```
data_Pm3Mg2Al7
_chemical_formula_sum 'Pm9 Mg6 Al21'
_space_group_name_H-M_alt 'R -3 m'
_space_group_IT_number 166
_space_group_name_Hall '-R 3 2"'
_cell_length_a 5.6925
_cell_length_b 5.6925
_cell_length_c 27.2036
_cell_angle_alpha 90.00
_cell_angle_beta 90.00
_cell_angle_gamma 120.00
loop_
_atom_site_label
_atom_site_type_symbol
_atom_site_fract_x
_atom_site_fract_y
_atom_site_fract_z
_atom_site_occupancy
Pm1 Pm 0.0000 0.0000 0.0000 1
Pm2 Pm 0.0000 0.0000 0.1412 1
Mg1 Mg 0.0000 0.0000 0.3347 1
Al1 Al 0.0000 0.0000 0.5000 1
Al2 Al 0.0054 0.5027 0.9140 1
```


# 6
This record from the Alexandria database describes crystalline TaAl2BC at its relaxed geometry. The functional is PBE.

Output
**ΔE_f**: 906 meV/atom

CIF file:
```
data_TaAl2BC
_chemical_formula_sum 'Ta1 Al2 B1 C1'
_space_group_name_H-M_alt 'P 4/m m m'
_space_group_IT_number 123
_space_group_name_Hall '-P 4 2'
_cell_length_a 3.833
_cell_length_b 3.833
_cell_length_c 4.501
_cell_angle_alpha 90.00
_cell_angle_beta 90.00
_cell_angle_gamma 90.00
loop_
_atom_site_label
_atom_site_type_symbol
_atom_site_fract_x
_atom_site_fract_y
_atom_site_fract_z
_atom_site_occupancy
Ta1 Ta 0.000 0.000 0.000 1
Al1 Al 0.000 0.500 0.500 1
B1 B 0.000 0.000 0.500 1
C1 C 0.500 0.500 0.000 1
```


# 7
This record from the Alexandria database describes crystalline Sc2TaAs at its relaxed geometry. The functional is PBE.

Output
**ΔE_f**: -316 meV/atom

CIF file:
```
data_Sc2TaAs
_chemical_formula_sum 'Sc2 Ta1 As1'
_space_group_name_H-M_alt 'P 4 m m'
_space_group_IT_number 99
_cell_length_a 3.426
_cell_length_b 3.426
_cell_length_c 6.812
_cell_angle_alpha 90.00
_cell_angle_beta 90.00
_cell_angle_gamma 90.00
loop_
_space_group_symop_operation_xyz
'x,y,z'
'-y,x,z'
'-x,-y,z'
'y,-x,z'
'-x,y,z'
'y,x,z'
'x,-y,z'
'-y,-x,z'
loop_
_atom_site_label
_atom_site_type_symbol
_atom_site_fract_x
_atom_site_fract_y
_atom_site_fract_z
_atom_site_occupancy
Sc1 Sc 0.000 0.000 0.000 1
Sc2 Sc 0.500 0.500 0.311 1
Ta1 Ta 0.000 0.000 0.579 1
As1 As 0.500 0.500 0.758 1
```


# 8
This record from the Alexandria database describes crystalline CeCuNiH6 at its relaxed geometry. The functional is PBE.

CIF file:
```
data_CeCuNiH6
_chemical_formula_sum 'Ce1 Cu1 Ni1 H6'
_space_group_name_H-M_alt 'P -6 m 2'
_space_group_IT_number 187
_space_group_name_Hall 'P -6 2'
_cell_length_a 4.4157
_cell_length_b 4.4157
_cell_length_c 4.3705
_cell_angle_alpha 90.00
_cell_angle_beta 90.00
_cell_angle_gamma 120.00
loop_
_atom_site_label
_atom_site_type_symbol
_atom_site_fract_x
_atom_site_fract_y
_atom_site_fract_z
_atom_site_occupancy
Ce1 Ce 0.0000 0.0000 0.0000 1
Cu1 Cu 0.3333 0.6667 0.5000 1
Ni1 Ni 0.6667 0.3333 0.5000 1
H1 H 0.5068 0.0135 0.2480 1
```


# 9
This record from the Alexandria database describes crystalline ZrSbHO2 at its relaxed geometry. The functional is PBE.

CIF file:
```
data_ZrSbHO2
_chemical_formula_sum 'Zr1 Sb1 H1 O2'
_space_group_name_H-M_alt 'P 4/m m m'
_space_group_IT_number 123
_space_group_name_Hall '-P 4 2'
_cell_length_a 4.205
_cell_length_b 4.205
_cell_length_c 4.006
_cell_angle_alpha 90.00
_cell_angle_beta 90.00
_cell_angle_gamma 90.00
loop_
_atom_site_label
_atom_site_type_symbol
_atom_site_fract_x
_atom_site_fract_y
_atom_site_fract_z
_atom_site_occupancy
Zr1 Zr 0.000 0.000 0.000 1
Sb1 Sb 0.500 0.500 0.500 1
H1 H 0.000 0.000 0.500 1
O1 O 0.000 0.500 0.000 1
```


# 10
This record from the Alexandria database describes crystalline Sc2MoPt at its relaxed geometry. The functional is PBE.

Output
**ΔE_f**: -497 meV/atom

CIF file:
```
data_Sc2MoPt
_chemical_formula_sum 'Sc2 Mo1 Pt1'
_space_group_name_H-M_alt 'P 4/m m m'
_space_group_IT_number 123
_space_group_name_Hall '-P 4 2'
_cell_length_a 3.315
_cell_length_b 3.315
_cell_length_c 6.568
_cell_angle_alpha 90.00
_cell_angle_beta 90.00
_cell_angle_gamma 90.00
loop_
_atom_site_label
_atom_site_type_symbol
_atom_site_fract_x
_atom_site_fract_y
_atom_site_fract_z
_atom_site_occupancy
Sc1 Sc 0.000 0.000 0.244 1
Mo1 Mo 0.500 0.500 0.500 1
Pt1 Pt 0.500 0.500 0.000 1
```


# 11
This record from the Alexandria database describes crystalline NaLiNiSb at its relaxed geometry. The functional is PBE.

Output
**Energy relative to the elements, uncorrected**: -230 meV per atom

CIF file:
```
data_NaLiNiSb
_chemical_formula_sum 'Na4 Li4 Ni4 Sb4'
_space_group_name_H-M_alt 'F -4 3 m'
_space_group_IT_number 216
_space_group_name_Hall 'F -4 2 3'
_cell_length_a 6.456
_cell_length_b 6.456
_cell_length_c 6.456
_cell_angle_alpha 90.00
_cell_angle_beta 90.00
_cell_angle_gamma 90.00
loop_
_atom_site_label
_atom_site_type_symbol
_atom_site_fract_x
_atom_site_fract_y
_atom_site_fract_z
_atom_site_occupancy
Na1 Na 0.000 0.000 0.000 1
Li1 Li 0.250 0.250 0.250 1
Ni1 Ni 0.250 0.250 0.750 1
Sb1 Sb 0.000 0.000 0.500 1
```


# 12
This record from the Alexandria database describes crystalline Pm3YFe at its relaxed geometry. The functional is PBE.

Output
**ΔE_f**: 191 meV/atom

CIF file:
```
data_Pm3YFe
_chemical_formula_sum 'Pm3 Y1 Fe1'
_space_group_name_H-M_alt 'P m -3 m'
_space_group_IT_number 221
_space_group_name_Hall '-P 4 2 3'
_cell_length_a 5.370
_cell_length_b 5.370
_cell_length_c 5.370
_cell_angle_alpha 90.00
_cell_angle_beta 90.00
_cell_angle_gamma 90.00
loop_
_atom_site_label
_atom_site_type_symbol
_atom_site_fract_x
_atom_site_fract_y
_atom_site_fract_z
_atom_site_occupancy
Pm1 Pm 0.000 0.000 0.500 1
Y1 Y 0.500 0.500 0.500 1
Fe1 Fe 0.000 0.000 0.000 1
```


Total DFT energy (no corrections) for every record listed, in sequence, given in eV for the cell shown: -24.165; -73.231; -115.448; -21.322; -144.291; -30.709; -30.431; -38.422; -31.690; -31.524; -56.219; -28.226.
M_tot for every record listed, in sequence, given in μB/f.u.: 0.00; 0.00; 0.00; 0.00; 0.00; 0.00; 1.16; 1.15; 0.00; 0.00; 0.00; 0.05.